Version i
SmDy5Tm5: optimized geometry, PBE-GGA.

Results
- DOS(E_F): 1.458 states/eV/atom
- Total moment: 0.00 μB per cell

Lattice parameters (Å, degrees): 6.7805 6.9241 8.2405 76.33 76.89 72.74
Space group P-1 (No. 2)
Inequivalent atoms, fractional coordinates:
Sm: 0.0000 0.0000 0.0000 x1
Dy: 0.0000 0.5000 0.0000 x1
Dy: 0.1574 0.6300 0.3585 x2
Dy: 0.3239 0.7657 0.6560 x2
Tm: 0.2103 0.1377 0.3172 x2
Tm: 0.3535 0.2501 0.7162 x2
Tm: 0.5000 0.5000 0.0000 x1

***

Version ii
SmDy5Tm5: optimized geometry, PBE-GGA.

Results
- DOS(E_F): 1.978 states/eV/atom
- Total moment: 0.01 μB per cell

Lattice parameters (Å, degrees): 5.9954 5.9954 11.6039 90.00 90.00 120.00
Space group P-6m2 (No. 187)
Inequivalent atoms, fractional coordinates:
Sm: 0.0000 0.0000 0.0000 x1
Dy: 0.0000 0.0000 0.3202 x2
Dy: 0.3333 0.6667 0.1554 x2
Dy: 0.6667 0.3333 0.0000 x1
Tm: 0.0006 0.5003 0.5000 x3
Tm: 0.6667 0.3333 0.2654 x2

***

Of them, the most stable is version i and the least stable is version ii.

***

Version i
Sm12Dy6Tm: optimized geometry, PBE-GGA.

Results
- DOS(E_F): 1.724 states/eV/atom
- Total moment: 0.00 μB per cell

Lattice parameters (Å, degrees): 12.0553 12.0553 15.1959 90.00 90.00 120.00
Space group R-3 (No. 148, hexagonal axes)
Inequivalent atoms, fractional coordinates:
Sm: 0.0049 0.8302 0.1907 x18
Sm: 0.0456 0.8502 0.4163 x18
Dy: 0.0145 0.4259 0.6857 x18
Tm: 0.0000 0.0000 0.0000 x3

***

Version ii
Sm12Dy6Tm: optimized geometry, PBE-GGA.

Results
- DOS(E_F): 1.742 states/eV/atom
- Total moment: 0.03 μB per cell

Lattice parameters (Å, degrees): 16.1037 16.1037 8.6688 90.00 90.00 120.00
Space group R-3m (No. 166, hexagonal axes)
Inequivalent atoms, fractional coordinates:
Sm: 0.0000 0.3872 0.0000 x18
Sm: 0.0887 0.5443 0.3194 x18
Dy: 0.0802 0.1604 0.1477 x18
Tm: 0.0000 0.0000 0.5000 x3

***

Of them, the most stable is version i and the least stable is version ii.